The following is a DFT calculation (PBE) of a relaxed ErCu6O12 crystal.

a = 6.4481 Å, b = 6.4481 Å, c = 6.4481 Å
α = 109.47°, β = 109.47°, γ = 109.47°
Sites, in units of the cell vectors:
Er (0.0000, 0.0000, 0.0000)
Cu (0.1643, 0.6643, 0.5000)
Cu (0.3357, 0.5000, 0.8357)
Cu (0.5000, 0.1643, 0.6643)
Cu (0.5000, 0.8357, 0.3357)
Cu (0.6643, 0.5000, 0.1643)
Cu (0.8357, 0.3357, 0.5000)
O (0.1492, 0.3270, 0.4762)
O (0.1492, 0.6730, 0.8221)
O (0.1779, 0.8508, 0.3270)
O (0.3270, 0.1779, 0.8508)
O (0.3270, 0.4762, 0.1492)
O (0.4762, 0.1492, 0.3270)
O (0.5238, 0.8508, 0.6730)
O (0.6730, 0.5238, 0.8508)
O (0.6730, 0.8221, 0.1492)
O (0.8221, 0.1492, 0.6730)
O (0.8508, 0.3270, 0.1779)
O (0.8508, 0.6730, 0.5238)

Results
**Formation energy without anion corrections**: -236 meV/atom
**Size of the total moment**: 8.64 μB/f.u.
**Crystal system**: cubic
**DFT total energy**: -4.901 eV per atom